# YPaGaTc

A geometry-optimized YPaGaTc structure (PBE, the Alexandria database).

The energy is -7.50 eV per atom. As for the crystal system: cubic.

The structure belongs to space group F-43m (No. 216); the cell edges are 7.0078, 7.0078 and 7.0078 Å and the angles 90.00°, 90.00° and 90.00°. The inequivalent atoms are Y at (0.0000, 0.0000, 0.0000), Pa at (0.0000, 0.0000, 0.5000), Ga at (0.2500, 0.2500, 0.7500) and Tc at (0.2500, 0.2500, 0.2500).

# Pa3ZnGa3Tc2

A geometry-optimized Pa3ZnGa3Tc2 structure (PBE, the Alexandria database).

The energy is -6.99 eV per atom. As for the crystal system: hexagonal.

The structure belongs to space group P-62m (No. 189); the cell edges are 7.2025, 7.2025 and 3.8832 Å and the angles 90.00°, 90.00° and 120.00°. The inequivalent atoms are Pa at (0.0000, 0.5787, 0.0000), Zn at (0.0000, 0.0000, 0.0000), Ga at (0.0000, 0.2457, 0.5000) and Tc at (0.3333, 0.6667, 0.5000).

# ZrPaGaTc

A geometry-optimized ZrPaGaTc structure (PBE, the Alexandria database).

The energy is -8.02 eV per atom. As for the crystal system: cubic.

The structure belongs to space group F-43m (No. 216); the cell edges are 6.8470, 6.8470 and 6.8470 Å and the angles 90.00°, 90.00° and 90.00°. The inequivalent atoms are Zr at (0.0000, 0.0000, 0.0000), Pa at (0.0000, 0.0000, 0.5000), Ga at (0.2500, 0.2500, 0.2500) and Tc at (0.2500, 0.2500, 0.7500).

# PaGa2Te

A geometry-optimized PaGa2Te structure (PBE, the Alexandria database).

For the polymorph energy (0 for the lowest one), the calculation gives 0.0000 eV per atom. The value obtained for the uncorrected formation energy is -157 kJ/mol of formula units. As for the crystal system: tetragonal.

The structure belongs to space group P4/mmm (No. 123); the cell edges are 4.3833, 4.3833 and 4.5516 Å and the angles 90.00°, 90.00° and 90.00°. The inequivalent atoms are Pa at (0.0000, 0.0000, 0.0000), Ga at (0.0000, 0.5000, 0.5000) and Te at (0.5000, 0.5000, 0.0000).

# PaGa2Te

A geometry-optimized PaGa2Te structure (PBE, the Alexandria database).

For the polymorph energy (0 for the lowest one), the calculation gives 0.5118 eV per atom. The value obtained for the uncorrected formation energy is 40 kJ/mol of formula units. As for the crystal system: trigonal.

The structure belongs to space group R-3m (No. 166, hexagonal axes); the cell edges are 4.8369, 4.8369 and 13.7464 Å and the angles 90.00°, 90.00° and 120.00°. The inequivalent atoms are Pa at (0.0000, 0.0000, 0.0000), Ga at (0.0000, 0.0000, 0.2355) and Te at (0.0000, 0.0000, 0.5000).

# Pa3GaTe6

A geometry-optimized Pa3GaTe6 structure (PBE, the Alexandria database).

The value obtained for the uncorrected formation energy is -622 kJ/mol of formula units. As for the crystal system: orthorhombic.

The structure belongs to space group Cmc2_1 (No. 36); the cell edges are 11.7356, 14.6168 and 7.6915 Å and the angles 90.00°, 90.00° and 90.00°. The inequivalent atoms are Pa at (0.0000, 0.0948, 0.0000), Pa at (0.1750, 0.3985, 0.8855), Ga at (0.0000, 0.3247, 0.3675), Te at (0.0000, 0.2603, 0.7455), Te at (0.0000, 0.4949, 0.1318), Te at (0.1671, 0.0406, 0.6968) and Te at (0.1770, 0.2306, 0.1553).

# Pa3GaTe8

A geometry-optimized Pa3GaTe8 structure (PBE, the Alexandria database).

The value obtained for the uncorrected formation energy is -762 kJ/mol of formula units. As for the crystal system: hexagonal.

The structure belongs to space group P6_3mc (No. 186); the cell edges are 8.8212, 8.8212 and 14.0129 Å and the angles 90.00°, 90.00° and 120.00°. The inequivalent atoms are Pa at (0.1661, 0.3323, 0.0000), Ga at (0.3333, 0.6667, 0.2421), Te at (0.0000, 0.0000, 0.1240), Te at (0.0167, 0.5083, 0.1216), Te at (0.1622, 0.3244, 0.3874) and Te at (0.3333, 0.6667, 0.8771).

# PaGa2Te6

A geometry-optimized PaGa2Te6 structure (PBE, the Alexandria database).

The value obtained for the uncorrected formation energy is -300 kJ/mol of formula units. As for the crystal system: monoclinic.

The structure belongs to space group C2/c (No. 15); the cell edges are 13.8540, 12.6639 and 7.6245 Å and the angles 90.00°, 103.54° and 90.00°. The inequivalent atoms are Pa at (0.0000, 0.1004, 0.2500), Ga at (0.1764, 0.4233, 0.3093), Te at (0.1049, 0.4136, 0.6026), Te at (0.1215, 0.0769, 0.6328) and Te at (0.1521, 0.2358, 0.1526).